No. 1
A plane-wave DFT calculation with GGA-PBE was carried out for a relaxed YBeNi2 crystal.

```
data_YBeNi2
_chemical_formula_sum 'Y3 Be3 Ni6'
_cell_length_a 3.8683
_cell_length_b 3.8683
_cell_length_c 14.2304
_cell_angle_alpha 90.00
_cell_angle_beta 90.00
_cell_angle_gamma 120.00
_symmetry_space_group_name_H-M 'R 3 m'
_symmetry_Int_Tables_number 160
_symmetry_space_group_name_Hall 'R 3 -2"'
loop_
_atom_site_label
_atom_site_type_symbol
_atom_site_fract_x
_atom_site_fract_y
_atom_site_fract_z
Y1 Y 0.0000 0.0000 0.0000
Be1 Be 0.0000 0.0000 0.1934
Ni1 Ni 0.0000 0.0000 0.5244
Ni2 Ni 0.0000 0.0000 0.8043
```

The size of the total moment is 0.00 μB/cell. For the formation energy, the calculation gives -0.301 eV per atom.



No. 2
A plane-wave DFT calculation with GGA-PBE was carried out for a relaxed YBe4Ni crystal.

```
data_YBe4Ni
_chemical_formula_sum 'Y4 Be16 Ni4'
_cell_length_a 6.577
_cell_length_b 6.577
_cell_length_c 6.577
_cell_angle_alpha 90.00
_cell_angle_beta 90.00
_cell_angle_gamma 90.00
_symmetry_space_group_name_H-M 'F -4 3 m'
_symmetry_Int_Tables_number 216
_symmetry_space_group_name_Hall 'F -4 2 3'
loop_
_atom_site_label
_atom_site_type_symbol
_atom_site_fract_x
_atom_site_fract_y
_atom_site_fract_z
Y1 Y 0.000 0.000 0.000
Be1 Be 0.121 0.121 0.379
Ni1 Ni 0.250 0.250 0.750
```

The size of the total moment is 0.02 μB/cell. For the formation energy, the calculation gives -0.028 eV per atom.



No. 3
A plane-wave DFT calculation with GGA-PBE was carried out for a relaxed YBeNi2 crystal.

```
data_YBeNi2
_chemical_formula_sum 'Y4 Be4 Ni8'
_cell_length_a 6.165
_cell_length_b 6.165
_cell_length_c 6.165
_cell_angle_alpha 90.00
_cell_angle_beta 90.00
_cell_angle_gamma 90.00
_symmetry_space_group_name_H-M 'F -4 3 m'
_symmetry_Int_Tables_number 216
_symmetry_space_group_name_Hall 'F -4 2 3'
loop_
_atom_site_label
_atom_site_type_symbol
_atom_site_fract_x
_atom_site_fract_y
_atom_site_fract_z
Y1 Y 0.000 0.000 0.000
Be1 Be 0.250 0.250 0.750
Ni1 Ni 0.000 0.000 0.500
Ni2 Ni 0.250 0.250 0.250
```

The size of the total moment is 0.00 μB/cell. For the formation energy, the calculation gives 0.040 eV per atom.



No. 4
A plane-wave DFT calculation with GGA-PBE was carried out for a relaxed YBeNi2 crystal.

```
data_YBeNi2
_chemical_formula_sum 'Y2 Be2 Ni4'
_cell_length_a 6.687
_cell_length_b 3.851
_cell_length_c 5.204
_cell_angle_alpha 90.00
_cell_angle_beta 115.21
_cell_angle_gamma 90.00
_symmetry_space_group_name_H-M 'C 1 2/m 1'
_symmetry_Int_Tables_number 12
_symmetry_space_group_name_Hall '-C 2y'
loop_
_atom_site_label
_atom_site_type_symbol
_atom_site_fract_x
_atom_site_fract_y
_atom_site_fract_z
Y1 Y 0.000 0.000 0.000
Be1 Be 0.000 0.500 0.500
Ni1 Ni 0.200 0.000 0.600
```

The size of the total moment is 0.00 μB/cell. For the formation energy, the calculation gives -0.380 eV per atom.



No. 5
A plane-wave DFT calculation with GGA-PBE was carried out for a relaxed Y2BeNi2 crystal.

```
data_Y2BeNi2
_chemical_formula_sum 'Y8 Be4 Ni8'
_cell_length_a 9.071
_cell_length_b 5.428
_cell_length_c 7.313
_cell_angle_alpha 90.00
_cell_angle_beta 103.04
_cell_angle_gamma 90.00
_symmetry_space_group_name_H-M 'C 1 2/c 1'
_symmetry_Int_Tables_number 15
_symmetry_space_group_name_Hall '-C 2yc'
loop_
_atom_site_label
_atom_site_type_symbol
_atom_site_fract_x
_atom_site_fract_y
_atom_site_fract_z
Y1 Y 0.153 0.128 0.151
Be1 Be 0.000 0.378 0.750
Ni1 Ni 0.123 0.375 0.503
```

The size of the total moment is 0.00 μB/cell. The energy above the most stable polymorph in this dataset is 0 meV per atom. For the formation energy, the calculation gives -0.334 eV per atom.



No. 6
A plane-wave DFT calculation with GGA-PBE was carried out for a relaxed Y4BeNi3 crystal.

```
data_Y4BeNi3
_chemical_formula_sum 'Y4 Be1 Ni3'
_cell_length_a 3.801
_cell_length_b 4.159
_cell_length_c 10.339
_cell_angle_alpha 90.00
_cell_angle_beta 90.00
_cell_angle_gamma 90.00
_symmetry_space_group_name_H-M 'P m m 2'
_symmetry_Int_Tables_number 25
_symmetry_space_group_name_Hall 'P 2 -2'
loop_
_atom_site_label
_atom_site_type_symbol
_atom_site_fract_x
_atom_site_fract_y
_atom_site_fract_z
Y1 Y 0.000 0.000 0.000
Y2 Y 0.000 0.500 0.276
Y3 Y 0.500 0.000 0.495
Y4 Y 0.500 0.500 0.778
Be1 Be 0.000 0.000 0.695
Ni1 Ni 0.000 0.500 0.582
Ni2 Ni 0.500 0.000 0.210
Ni3 Ni 0.500 0.500 0.068
```

The size of the total moment is 0.00 μB/cell. For the formation energy, the calculation gives -0.326 eV per atom.



No. 7
A plane-wave DFT calculation with GGA-PBE was carried out for a relaxed YBeNi2 crystal.

```
data_YBeNi2
_chemical_formula_sum 'Y1 Be1 Ni2'
_cell_length_a 3.738
_cell_length_b 3.598
_cell_length_c 4.862
_cell_angle_alpha 90.00
_cell_angle_beta 90.11
_cell_angle_gamma 90.00
_symmetry_space_group_name_H-M 'P 1 2/m 1'
_symmetry_Int_Tables_number 10
_symmetry_space_group_name_Hall '-P 2y'
loop_
_atom_site_label
_atom_site_type_symbol
_atom_site_fract_x
_atom_site_fract_y
_atom_site_fract_z
Y1 Y 0.000 0.000 0.000
Be1 Be 0.500 0.000 0.500
Ni1 Ni 0.500 0.500 0.251
```

The size of the total moment is 0.00 μB/cell. For the formation energy, the calculation gives -0.119 eV per atom.



No. 8
A plane-wave DFT calculation with GGA-PBE was carried out for a relaxed YBeNi2 crystal.

```
data_YBeNi2
_chemical_formula_sum 'Y1 Be1 Ni2'
_cell_length_a 4.186
_cell_length_b 4.186
_cell_length_c 3.352
_cell_angle_alpha 90.00
_cell_angle_beta 90.00
_cell_angle_gamma 90.00
_symmetry_space_group_name_H-M 'P 4/m m m'
_symmetry_Int_Tables_number 123
_symmetry_space_group_name_Hall '-P 4 2'
loop_
_atom_site_label
_atom_site_type_symbol
_atom_site_fract_x
_atom_site_fract_y
_atom_site_fract_z
Y1 Y 0.000 0.000 0.000
Be1 Be 0.500 0.500 0.000
Ni1 Ni 0.000 0.500 0.500
```

The size of the total moment is 0.00 μB/cell. For the formation energy, the calculation gives 0.010 eV per atom.



No. 9
A plane-wave DFT calculation with GGA-PBE was carried out for a relaxed Y2Be2Ni crystal.

```
data_Y2Be2Ni
_chemical_formula_sum 'Y4 Be4 Ni2'
_cell_length_a 5.325
_cell_length_b 5.325
_cell_length_c 6.519
_cell_angle_alpha 90.00
_cell_angle_beta 90.00
_cell_angle_gamma 90.00
_symmetry_space_group_name_H-M 'I 4/m m m'
_symmetry_Int_Tables_number 139
_symmetry_space_group_name_Hall '-I 4 2'
loop_
_atom_site_label
_atom_site_type_symbol
_atom_site_fract_x
_atom_site_fract_y
_atom_site_fract_z
Y1 Y 0.000 0.500 0.250
Be1 Be 0.000 0.000 0.152
Ni1 Ni 0.000 0.000 0.500
```

The size of the total moment is 0.00 μB/cell. The energy above the most stable polymorph in this dataset is 124 meV per atom. For the formation energy, the calculation gives 0.154 eV per atom.



No. 10
A plane-wave DFT calculation with GGA-PBE was carried out for a relaxed YBe2Ni3 crystal.

```
data_YBe2Ni3
_chemical_formula_sum 'Y1 Be2 Ni3'
_cell_length_a 5.0244
_cell_length_b 5.0244
_cell_length_c 3.4157
_cell_angle_alpha 90.00
_cell_angle_beta 90.00
_cell_angle_gamma 120.00
_symmetry_space_group_name_H-M 'P 6/m m m'
_symmetry_Int_Tables_number 191
_symmetry_space_group_name_Hall '-P 6 2'
loop_
_atom_site_label
_atom_site_type_symbol
_atom_site_fract_x
_atom_site_fract_y
_atom_site_fract_z
Y1 Y 0.0000 0.0000 0.0000
Be1 Be 0.3333 0.6667 0.0000
Ni1 Ni 0.0000 0.5000 0.5000
```

The size of the total moment is 0.00 μB/cell. For the formation energy, the calculation gives -0.474 eV per atom.



No. 11
A plane-wave DFT calculation with GGA-PBE was carried out for a relaxed YBeNi2 crystal.

```
data_YBeNi2
_chemical_formula_sum 'Y1 Be1 Ni2'
_cell_length_a 3.132
_cell_length_b 3.132
_cell_length_c 5.918
_cell_angle_alpha 90.00
_cell_angle_beta 90.00
_cell_angle_gamma 90.00
_symmetry_space_group_name_H-M 'P 4 m m'
_symmetry_Int_Tables_number 99
_symmetry_space_group_name_Hall 'P 4 -2'
loop_
_atom_site_label
_atom_site_type_symbol
_atom_site_fract_x
_atom_site_fract_y
_atom_site_fract_z
Y1 Y 0.000 0.000 0.000
Be1 Be 0.500 0.500 0.353
Ni1 Ni 0.000 0.000 0.471
Ni2 Ni 0.500 0.500 0.714
```

The size of the total moment is 0.00 μB/cell. For the formation energy, the calculation gives -0.066 eV per atom.



No. 12
A plane-wave DFT calculation with GGA-PBE was carried out for a relaxed YBeNi2 crystal.

```
data_YBeNi2
_chemical_formula_sum 'Y1 Be1 Ni2'
_cell_length_a 3.071
_cell_length_b 3.015
_cell_length_c 6.119
_cell_angle_alpha 90.00
_cell_angle_beta 90.26
_cell_angle_gamma 90.00
_symmetry_space_group_name_H-M 'P 1 2/m 1'
_symmetry_Int_Tables_number 10
_symmetry_space_group_name_Hall '-P 2y'
loop_
_atom_site_label
_atom_site_type_symbol
_atom_site_fract_x
_atom_site_fract_y
_atom_site_fract_z
Y1 Y 0.000 0.000 0.000
Be1 Be 0.000 0.000 0.500
Ni1 Ni 0.499 0.500 0.690
```

The size of the total moment is 0.00 μB/cell. For the formation energy, the calculation gives -0.143 eV per atom.